No. 1
{"formula": "RbSbS2", "functional": "PBE", "state": "optimized geometry", "spacegroup": "P2/c, No. 13", "n_ef_per_ev_atom": 0.000, "final_energy_ev_per_atom": -4.0612, "total_magnetization_mub_per_cell": 0.0, "raw_formation_energy_mev_per_atom": -725, "lattice_angstrom": [[6.720, 0.000, 0.000], [0.000, 6.695, 0.000], [-4.748, 0.000, 12.039]], "species": ["Rb", "Rb", "Rb", "Rb", "Sb", "Sb", "Sb", "Sb", "S", "S", "S", "S", "S", "S", "S", "S"], "fractional_positions": [[0.140, 0.230, 0.118], [0.140, 0.770, 0.618], [0.860, 0.230, 0.382], [0.860, 0.770, 0.882], [0.421, 0.309, 0.878], [0.421, 0.691, 0.378], [0.579, 0.309, 0.622], [0.579, 0.691, 0.122], [0.237, 0.285, 0.649], [0.237, 0.715, 0.149], [0.367, 0.331, 0.388], [0.367, 0.669, 0.888], [0.633, 0.331, 0.112], [0.633, 0.669, 0.612], [0.763, 0.285, 0.851], [0.763, 0.715, 0.351]]}



No. 2
{"formula": "Ba2MgCd", "functional": "PBE", "state": "optimized geometry", "spacegroup": "Cm, No. 8", "n_ef_per_ev_atom": 1.091, "final_energy_ev_per_atom": -1.7380, "total_magnetization_mub_per_cell": 0.0, "formation_energy_ev_per_atom": -0.149, "lattice_angstrom": [[6.778, -2.114, 0.000], [6.778, 2.114, 0.000], [-2.689, 0.000, 5.460]], "species": ["Ba", "Ba", "Mg", "Cd"], "fractional_positions": [[0.000, 0.000, 0.000], [0.196, 0.196, 0.693], [0.773, 0.773, 0.271], [0.444, 0.444, 0.445]]}



No. 3
{"formula": "CeEr5Bi5", "functional": "PBE", "state": "optimized geometry", "spacegroup": "C2/m, No. 12", "n_ef_per_ev_atom": 0.925, "final_energy_ev_per_atom": -4.9801, "total_magnetization_mub_per_cell": 1.0, "formation_energy_ev_per_atom": -0.603, "lattice_angstrom": [[6.946, -3.141, 0.000], [6.946, 3.141, 0.000], [-2.744, 0.000, 8.381]], "species": ["Ce", "Er", "Er", "Er", "Er", "Er", "Bi", "Bi", "Bi", "Bi", "Bi"], "fractional_positions": [[0.000, 0.000, 0.000], [0.000, 0.000, 0.500], [0.335, 0.335, 0.171], [0.340, 0.340, 0.663], [0.660, 0.660, 0.337], [0.665, 0.665, 0.829], [0.169, 0.169, 0.341], [0.172, 0.172, 0.828], [0.500, 0.500, 0.000], [0.828, 0.828, 0.172], [0.831, 0.831, 0.659]]}



No. 4
{"formula": "Li17Mg2Ag2", "functional": "PBE", "state": "optimized geometry", "spacegroup": "C2/m, No. 12", "n_ef_per_ev_atom": 0.475, "final_energy_ev_per_atom": -1.9575, "total_magnetization_mub_per_cell": 0.0, "formation_energy_ev_per_atom": 0.015, "lattice_angstrom": [[5.085, -5.308, 0.000], [5.085, 5.308, 0.000], [-2.833, 0.000, 7.544]], "species": ["Li", "Li", "Li", "Li", "Li", "Li", "Li", "Li", "Li", "Li", "Li", "Li", "Li", "Li", "Li", "Li", "Li", "Mg", "Mg", "Ag", "Ag"], "fractional_positions": [[0.000, 0.000, 0.000], [0.000, 0.500, 0.500], [0.025, 0.765, 0.308], [0.184, 0.184, 0.389], [0.200, 0.681, 0.832], [0.235, 0.975, 0.692], [0.319, 0.800, 0.168], [0.372, 0.372, 0.769], [0.374, 0.626, 0.500], [0.500, 0.000, 0.500], [0.626, 0.374, 0.500], [0.628, 0.628, 0.231], [0.681, 0.200, 0.832], [0.765, 0.025, 0.308], [0.800, 0.319, 0.168], [0.816, 0.816, 0.611], [0.975, 0.235, 0.692], [0.320, 0.320, 0.106], [0.680, 0.680, 0.894], [0.000, 0.500, 0.000], [0.500, 0.000, 0.000]]}



no.,theoretical density (g/cm3)
1,3.3
2,4.4
3,9.2
4,1.6